# 1
Material: Ca2AcIr2
Method: DFT, PBE
State: relaxed

Results
* density: 8.77 Mg/m³
* total DFT energy (no corrections): -5.54 eV per atom
* ΔH_f (0 K): -372 meV/atom
* magnetization: 0.0 μB/f.u.
* space group: No. 164

Cell lengths 4.9712, 4.9712, 6.1207 Å; angles 90.00, 90.00, 120.00 degrees
Sites, in units of the cell vectors:
Ca 0.3333 0.6667 0.3509
Ca 0.6667 0.3333 0.6491
Ac 0.0000 0.0000 0.0000
Ir 0.3333 0.6667 0.8431
Ir 0.6667 0.3333 0.1569

***

# 2
Material: CaAc2Ir2
Method: DFT, PBE
State: relaxed

Results
* offset from the most stable computed form: 5 kJ/mol of formula units
* density: 9.83 Mg/m³
* total DFT energy (no corrections): -6.08 eV per atom
* ΔH_f (0 K): -497 meV/atom
* magnetization: 0.0 μB/f.u.
* space group: No. 11

Cell lengths 5.9067, 4.5956, 11.1268 Å; angles 90.00, 100.60, 90.00 degrees
Sites, in units of the cell vectors:
Ca 0.0371 0.2500 0.2931
Ca 0.9629 0.7500 0.7069
Ac 0.2672 0.7500 0.0403
Ac 0.3828 0.2500 0.6153
Ac 0.6172 0.7500 0.3847
Ac 0.7328 0.2500 0.9597
Ir 0.1529 0.7500 0.4689
Ir 0.1930 0.2500 0.8663
Ir 0.8070 0.7500 0.1337
Ir 0.8471 0.2500 0.5311

***

# 3
Material: CaAcIr
Method: DFT, PBE
State: relaxed

Results
* offset from the most stable computed form: 18 kJ/mol of formula units
* density: 7.32 Mg/m³
* total DFT energy (no corrections): -5.38 eV per atom
* ΔH_f (0 K): -393 meV/atom
* magnetization: 0.0 μB/f.u.
* space group: No. 12

Cell lengths 4.3250, 4.3250, 13.1037 Å; angles 99.44, 99.44, 59.99 degrees
Sites, in units of the cell vectors:
Ca 0.1232 0.1232 0.3726
Ca 0.8768 0.8768 0.6274
Ac 0.2866 0.2866 0.8583
Ac 0.7134 0.7134 0.1417
Ir 0.4182 0.4182 0.2569
Ir 0.5818 0.5818 0.7431

***

# 4
Material: CaAcLaIr
Method: DFT, PBE
State: relaxed

Results
* density: 6.34 Mg/m³
* total DFT energy (no corrections): -5.40 eV per atom
* ΔH_f (0 K): -422 meV/atom
* magnetization: 0.0 μB/f.u.
* space group: No. 8

Cell lengths 4.2738, 4.2738, 10.2169 Å; angles 102.14, 102.14, 60.00 degrees
Sites, in units of the cell vectors:
Ca 0.0000 0.0000 0.0000
Ac 0.2202 0.2202 0.6564
La 0.4483 0.4483 0.3414
Ir 0.8313 0.8313 0.4899

***

# 5
Material: CaAc2LaIr
Method: DFT, PBE
State: relaxed

Results
* density: 6.75 Mg/m³
* total DFT energy (no corrections): -5.13 eV per atom
* ΔH_f (0 K): -326 meV/atom
* magnetization: 0.0 μB/f.u.
* space group: No. 123

Cell lengths 5.9833, 5.9833, 5.6707 Å; angles 90.00, 90.00, 90.00 degrees
Sites, in units of the cell vectors:
Ca 0.0000 0.0000 0.0000
Ac 0.0000 0.5000 0.5000
Ac 0.5000 0.0000 0.5000
La 0.5000 0.5000 0.0000
Ir 0.5000 0.5000 0.5000

***

# 6
Material: LiCaAcIr
Method: DFT, PBE
State: relaxed

Results
* density: 7.86 Mg/m³
* total DFT energy (no corrections): -4.49 eV per atom
* ΔH_f (0 K): -273 meV/atom
* magnetization: 0.0 μB/f.u.
* space group: No. 216

Cell lengths 5.1831, 5.1831, 5.1831 Å; angles 60.00, 60.00, 60.00 degrees
Sites, in units of the cell vectors:
Li 0.0000 0.0000 0.0000
Ca 0.2500 0.2500 0.2500
Ac 0.7500 0.7500 0.7500
Ir 0.5000 0.5000 0.5000

***

# 7
Material: CaAcMgIr
Method: DFT, PBE
State: relaxed

Results
* density: 7.66 Mg/m³
* total DFT energy (no corrections): -4.30 eV per atom
* ΔH_f (0 K): -156 meV/atom
* magnetization: 0.0 μB/f.u.
* space group: No. 216

Cell lengths 5.2934, 5.2934, 5.2934 Å; angles 60.00, 60.00, 60.00 degrees
Sites, in units of the cell vectors:
Ca 0.0000 0.0000 0.0000
Ac 0.5000 0.5000 0.5000
Mg 0.7500 0.7500 0.7500
Ir 0.2500 0.2500 0.2500

***

# 8
Material: CaAcIrN2
Method: DFT, PBE
State: relaxed

Results
* density: 7.95 Mg/m³
* total DFT energy (no corrections): -6.83 eV per atom
* energy relative to the elements, uncorrected: -48.6 kJ/mol of atoms
* magnetization: 1.0 μB/f.u.
* space group: No. 49

Cell lengths 4.9282, 5.7825, 7.1476 Å; angles 90.00, 90.00, 90.00 degrees
Sites, in units of the cell vectors:
Ca 0.0000 0.0000 0.2500
Ca 0.0000 0.0000 0.7500
Ac 0.5000 0.5000 0.2500
Ac 0.5000 0.5000 0.7500
Ir 0.5000 0.0000 0.0000
Ir 0.5000 0.0000 0.5000
N 0.2453 0.2554 0.0000
N 0.2453 0.7446 0.5000
N 0.7547 0.2554 0.5000
N 0.7547 0.7446 0.0000

***

# 9
Material: NaCaAc2Ir
Method: DFT, PBE
State: relaxed

Results
* density: 5.93 Mg/m³
* total DFT energy (no corrections): -4.37 eV per atom
* ΔH_f (0 K): -290 meV/atom
* magnetization: 0.0 μB/f.u.
* space group: No. 123

Cell lengths 5.8532, 5.8532, 5.8002 Å; angles 90.00, 90.00, 90.00 degrees
Sites, in units of the cell vectors:
Na 0.0000 0.0000 0.0000
Ca 0.5000 0.5000 0.0000
Ac 0.0000 0.5000 0.5000
Ac 0.5000 0.0000 0.5000
Ir 0.5000 0.5000 0.5000

***

# 10
Material: NaCaAcIr
Method: DFT, PBE
State: relaxed

Results
* density: 7.59 Mg/m³
* total DFT energy (no corrections): -4.19 eV per atom
* ΔH_f (0 K): -120 meV/atom
* magnetization: 0.0 μB/f.u.
* space group: No. 216

Cell lengths 5.3035, 5.3035, 5.3035 Å; angles 60.00, 60.00, 60.00 degrees
Sites, in units of the cell vectors:
Na 0.0000 0.0000 0.0000
Ca 0.2500 0.2500 0.2500
Ac 0.7500 0.7500 0.7500
Ir 0.5000 0.5000 0.5000

***

# 11
Material: CaAcNiIr
Method: DFT, PBE
State: relaxed

Results
* offset from the most stable computed form: 56 kJ/mol of formula units
* density: 9.47 Mg/m³
* total DFT energy (no corrections): -5.43 eV per atom
* ΔH_f (0 K): -245 meV/atom
* magnetization: 0.0 μB/f.u.
* space group: No. 216

Cell lengths 5.0459, 5.0459, 5.0459 Å; angles 60.00, 60.00, 60.00 degrees
Sites, in units of the cell vectors:
Ca 0.0000 0.0000 0.0000
Ac 0.5000 0.5000 0.5000
Ni 0.2500 0.2500 0.2500
Ir 0.7500 0.7500 0.7500

***

# 12
Material: CaAcNiIr
Method: DFT, PBE
State: relaxed

Results
* offset from the most stable computed form: 0 kJ/mol of formula units
* density: 7.46 Mg/m³
* total DFT energy (no corrections): -5.58 eV per atom
* ΔH_f (0 K): -391 meV/atom
* magnetization: 0.0 μB/f.u.
* space group: No. 8

Cell lengths 4.2423, 4.2423, 7.7957 Å; angles 105.86, 105.86, 60.00 degrees
Sites, in units of the cell vectors:
Ca 0.0000 0.0000 0.0000
Ac 0.1693 0.1693 0.5059
Ni 0.4154 0.4154 0.2451
Ir 0.7518 0.7518 0.2539